1.
Below is MnZn2Pt at its PBEsol-relaxed geometry, with properties calculated at the meta-GGA SCAN level.

Values from the calculation:
As for the density of states at the Fermi level: 0.36 states/eV per atom. Its symmetry is F-43m. The value obtained for the calculated total energy is -117.40 eV/cell.

Cell and atoms, written as extended XYZ:
```
4
Lattice="0.0000 3.0141 3.0141 3.0141 0.0000 3.0141 3.0141 3.0141 0.0000" Properties=species:S:1:pos:R:3 pbc="T T T"
Mn 0.0000 0.0000 0.0000
Zn 3.0141 3.0141 3.0141
Zn 4.5212 4.5212 4.5212
Pt 1.5071 1.5071 1.5071
```

2.
Below is Zr2ZnCl at its PBEsol-relaxed geometry, with properties calculated at the meta-GGA SCAN level.

Values from the calculation:
As for the density of states at the Fermi level: 1.00 states/eV per atom. Its formation energy without anion corrections is -79 meV/atom. Its symmetry is I-4m2. As for the polymorph energy (0 for the lowest one): 0.283 eV/atom. The value obtained for the calculated total energy is -83.21 eV/cell.

Cell and atoms, written as extended XYZ:
```
4
Lattice="-1.9379 1.9379 4.9483 1.9379 -1.9379 4.9483 1.9379 1.9379 -4.9483" Properties=species:S:1:pos:R:3 pbc="T T T"
Zr 0.0000 0.0000 0.0000
Zr 0.0000 1.9379 2.4741
Zn 1.9379 0.0000 2.4741
Cl 0.0000 0.0000 4.9483
```

3.
Below is Ba3Pt at its PBEsol-relaxed geometry, with properties calculated at the meta-GGA SCAN level.

Values from the calculation:
As for the density of states at the Fermi level: 0.73 states/eV per atom. Its symmetry is P2/m. The value obtained for the calculated total energy is -190.99 eV/cell.

Cell and atoms, written as extended XYZ:
```
4
Lattice="6.3675 0.0000 0.0000 0.0000 4.4934 0.0000 -3.1772 0.0000 6.8383" Properties=species:S:1:pos:R:3 pbc="T T T"
Ba 0.0000 0.0000 0.0000
Ba 0.0064 2.2467 4.7674
Ba 3.1839 2.2467 2.0709
Pt 3.1838 0.0000 0.0000
```

4.
Below is InMoF2 at its PBEsol-relaxed geometry, with properties calculated at the meta-GGA SCAN level.

Values from the calculation:
As for the density of states at the Fermi level: 0.86 states/eV per atom. Its formation energy without anion corrections is -374 meV/atom. Its symmetry is Fm-3m. The value obtained for the calculated total energy is -76.85 eV/cell.

Cell and atoms, written as extended XYZ:
```
4
Lattice="0.0000 3.0107 3.0107 3.0107 0.0000 3.0107 3.0107 3.0107 0.0000" Properties=species:S:1:pos:R:3 pbc="T T T"
In 0.0000 0.0000 0.0000
Mo 3.0107 3.0107 3.0107
F 1.5053 1.5053 1.5053
F 4.5160 4.5160 4.5160
```

5.
Below is ZrNbO2F at its PBEsol-relaxed geometry, with properties calculated at the meta-GGA SCAN level.

Values from the calculation:
As for the density of states at the Fermi level: 0.60 states/eV per atom. Its formation energy without anion corrections is -1701 meV/atom. Its symmetry is P4/mmm. The value obtained for the calculated total energy is -88.33 eV/cell.

Cell and atoms, written as extended XYZ:
```
5
Lattice="4.0180 0.0000 0.0000 0.0000 4.0180 0.0000 0.0000 0.0000 4.1591" Properties=species:S:1:pos:R:3 pbc="T T T"
Zr 0.0000 0.0000 0.0000
Nb 2.0090 2.0090 2.0796
O 0.0000 2.0090 2.0796
O 2.0090 0.0000 2.0796
F 2.0090 2.0090 0.0000
```

6.
Below is Ba2TcSb at its PBEsol-relaxed geometry, with properties calculated at the meta-GGA SCAN level.

Values from the calculation:
As for the density of states at the Fermi level: 0.71 states/eV per atom. Its formation energy without anion corrections is 307 meV/atom. Its symmetry is Pmmm. The value obtained for the calculated total energy is -150.19 eV/cell.

Cell and atoms, written as extended XYZ:
```
4
Lattice="3.6018 0.0000 0.0000 0.0000 4.6773 0.0000 0.0000 0.0000 7.2502" Properties=species:S:1:pos:R:3 pbc="T T T"
Ba 0.0000 0.0000 1.7477
Ba 0.0000 0.0000 5.5025
Tc 1.8009 2.3387 0.0000
Sb 1.8009 2.3387 3.6251
```

7.
Below is NaSeBrN2 at its PBEsol-relaxed geometry, with properties calculated at the meta-GGA SCAN level.

Values from the calculation:
As for the density of states at the Fermi level: 0.41 states/eV per atom. Its formation energy without anion corrections is 1668 meV/atom. Its symmetry is P4/mmm. The value obtained for the calculated total energy is -54.00 eV/cell.

Cell and atoms, written as extended XYZ:
```
5
Lattice="4.3909 0.0000 0.0000 0.0000 4.3909 0.0000 0.0000 0.0000 5.6787" Properties=species:S:1:pos:R:3 pbc="T T T"
Na 0.0000 0.0000 0.0000
Se 0.0000 0.0000 2.8394
Br 2.1955 2.1955 2.8394
N 0.0000 2.1955 0.0000
N 2.1955 0.0000 0.0000
```

8.
Below is AlReOs at its PBEsol-relaxed geometry, with properties calculated at the meta-GGA SCAN level.

Values from the calculation:
As for the density of states at the Fermi level: 0.38 states/eV per atom. Its symmetry is I4mm. The value obtained for the calculated total energy is -151.86 eV/cell.

Cell and atoms, written as extended XYZ:
```
3
Lattice="-1.4334 1.4334 5.0896 1.4334 -1.4334 5.0896 1.4334 1.4334 -5.0896" Properties=species:S:1:pos:R:3 pbc="T T T"
Al 0.0000 0.0000 0.0000
Re 0.0000 0.0000 3.3451
Os 0.0000 0.0000 6.7509
```

9.
Below is Al2FeAgO at its PBEsol-relaxed geometry, with properties calculated at the meta-GGA SCAN level.

Values from the calculation:
As for the density of states at the Fermi level: 0.93 states/eV per atom. Its formation energy without anion corrections is 939 meV/atom. Its symmetry is P4/mmm. The value obtained for the calculated total energy is -66.54 eV/cell.

Cell and atoms, written as extended XYZ:
```
5
Lattice="4.6743 0.0000 0.0000 0.0000 4.6743 0.0000 0.0000 0.0000 4.7388" Properties=species:S:1:pos:R:3 pbc="T T T"
Al 0.0000 2.3371 0.0000
Al 2.3371 0.0000 0.0000
Fe 0.0000 0.0000 2.3694
Ag 0.0000 0.0000 0.0000
O 2.3371 2.3371 2.3694
```

10.
Below is Li2Mg at its PBEsol-relaxed geometry, with properties calculated at the meta-GGA SCAN level.

Values from the calculation:
As for the density of states at the Fermi level: 0.36 states/eV per atom. Its symmetry is I4/mcm. The value obtained for the calculated total energy is -19.09 eV/cell.

Cell and atoms, written as extended XYZ:
```
6
Lattice="-3.2553 3.2553 3.0326 3.2553 -3.2553 3.0326 3.2553 3.2553 -3.0326" Properties=species:S:1:pos:R:3 pbc="T T T"
Li 4.2225 0.9671 0.0000
Li 0.9671 2.2882 0.0000
Li 2.2882 0.9671 3.0326
Li -0.9671 2.2882 3.0326
Mg 0.0000 0.0000 1.5163
Mg 0.0000 0.0000 4.5490
```

11.
Below is Cd2InRh at its PBEsol-relaxed geometry, with properties calculated at the meta-GGA SCAN level.

Values from the calculation:
As for the density of states at the Fermi level: 0.37 states/eV per atom. Its symmetry is I-4m2. The value obtained for the calculated total energy is -128.51 eV/cell.

Cell and atoms, written as extended XYZ:
```
4
Lattice="-2.0458 2.0458 4.2657 2.0458 -2.0458 4.2657 2.0458 2.0458 -4.2657" Properties=species:S:1:pos:R:3 pbc="T T T"
Cd 0.0000 0.0000 0.0000
Cd 0.0000 2.0458 2.1328
In 0.0000 0.0000 4.2657
Rh 2.0458 0.0000 2.1328
```

12.
Below is SrDy2Se4 at its PBEsol-relaxed geometry, with properties calculated at the meta-GGA SCAN level.

Values from the calculation:
As for the density of states at the Fermi level: 0.00 states/eV per atom. Its formation energy without anion corrections is -2202 meV/atom. Its symmetry is Pnma. The value obtained for the calculated total energy is -854.39 eV/cell.

Cell and atoms, written as extended XYZ:
```
28
Lattice="12.3500 0.0000 0.0000 0.0000 4.0966 0.0000 0.0000 0.0000 14.8093" Properties=species:S:1:pos:R:3 pbc="T T T"
Sr 2.9918 1.0241 2.4364
Sr 3.1832 3.0724 9.8411
Sr 9.1668 1.0241 4.9682
Sr 9.3582 3.0724 12.3729
Dy 0.8472 1.0241 5.7913
Dy 0.9863 1.0241 13.3447
Dy 5.1887 3.0724 5.9400
Dy 5.3278 3.0724 13.1960
Dy 7.0222 1.0241 1.6133
Dy 7.1613 1.0241 8.8693
Dy 11.3637 3.0724 1.4646
Dy 11.5028 3.0724 9.0180
Se 0.2731 3.0724 11.6060
Se 1.0785 1.0241 8.5916
Se 1.6520 3.0724 0.4102
Se 2.5729 3.0724 4.8132
Se 3.6022 1.0241 12.2179
Se 4.5230 1.0241 7.8148
Se 5.0965 3.0724 1.1869
Se 5.9019 1.0241 4.2013
Se 6.4481 3.0724 10.6080
Se 7.2535 1.0241 13.6224
Se 7.8270 3.0724 6.9945
Se 8.7479 3.0724 2.5914
Se 9.7772 1.0241 9.9961
Se 10.6980 1.0241 14.3991
Se 11.2716 3.0724 6.2177
Se 12.0769 1.0241 3.2033
```